[1]
A plane-wave DFT calculation with PBE was carried out for crystalline YZr2Ru at its relaxed geometry.

Cell lengths 5.8642, 5.8642, 5.8642 Å; angles 139.20, 139.20, 59.07 degrees
Element x y z (fractional)
Zr  0.0000  0.0000  0.0000
Zr  0.2500  0.7500  0.5000
Ru  0.5000  0.5000  0.0000
Y  0.7500  0.2500  0.5000

Computed properties:
For the total energy, the calculation gives -0.298 hartree per atom. The density of states at the Fermi level comes out at 6.0 states/eV per cell. As for the energy of formation: 0.110 eV per atom.

[2]
A plane-wave DFT calculation with PBE was carried out for crystalline Dy2ErZn9 at its relaxed geometry.

Cell lengths 5.4288, 5.4288, 9.1077 Å; angles 72.66, 72.66, 60.00 degrees
Element x y z (fractional)
Zn  0.6652  0.6652  0.0044
Zn  0.5849  0.5849  0.7536
Zn  0.9234  0.4151  0.2464
Zn  0.3348  0.3348  0.9956
Zn  0.4151  0.9234  0.2464
Zn  0.4151  0.4151  0.2464
Zn  0.0766  0.5849  0.7536
Zn  0.5000  0.5000  0.5000
Zn  0.5849  0.0766  0.7536
Er  0.0000  0.0000  0.0000
Dy  0.8605  0.8605  0.4184
Dy  0.1395  0.1395  0.5816

Computed properties:
For the total energy, the calculation gives -0.089 hartree per atom. The density of states at the Fermi level comes out at 6.5 states/eV per cell. As for the energy of formation: -0.307 eV per atom.

[3]
A plane-wave DFT calculation with PBE was carried out for crystalline TlAgSn at its relaxed geometry.

Cell lengths 4.7566, 4.7566, 11.6680 Å; angles 90.00, 90.00, 120.00 degrees
Element x y z (fractional)
Ag  0.6667  0.3333  0.7500
Ag  0.3333  0.6667  0.2500
Sn  0.0000  0.0000  0.0000
Sn  0.0000  0.0000  0.5000
Tl  0.0000  0.0000  0.2500
Tl  0.0000  0.0000  0.7500

Computed properties:
For the total energy, the calculation gives -0.086 hartree per atom. The density of states at the Fermi level comes out at 5.7 states/eV per cell. As for the energy of formation: 0.726 eV per atom.

[4]
A plane-wave DFT calculation with PBE was carried out for crystalline NiMoOs2 at its relaxed geometry.

Cell lengths 4.3117, 4.3117, 4.3117 Å; angles 60.00, 60.00, 60.00 degrees
Element x y z (fractional)
Ni  0.7500  0.7500  0.7500
Os  0.0000  0.0000  0.0000
Os  0.2500  0.2500  0.2500
Mo  0.5000  0.5000  0.5000

Computed properties:
For the total energy, the calculation gives -0.346 hartree per atom. The density of states at the Fermi level comes out at 3.8 states/eV per cell. As for the energy of formation: 0.361 eV per atom.

[5]
A plane-wave DFT calculation with PBE was carried out for crystalline Pa2FeCo9 at its relaxed geometry.

Cell lengths 3.7946, 3.7946, 10.7954 Å; angles 90.00, 90.00, 90.00 degrees
Site moments in Bohr magnetons follow the coordinates.
Element x y z (fractional)
Pa  0.0000  0.0000  0.6753  -0.47
Pa  0.0000  0.0000  0.3247  -0.47
Co  0.0000  0.5000  0.8563  1.22
Co  0.0000  0.5000  0.1437  1.22
Co  0.5000  0.5000  0.0000  1.74
Co  0.5000  0.0000  0.5000  0.50
Co  0.0000  0.5000  0.5000  0.50
Co  0.5000  0.0000  0.8563  1.22
Co  0.5000  0.0000  0.1437  1.22
Co  0.5000  0.5000  0.6775  0.57
Co  0.5000  0.5000  0.3225  0.57
Fe  0.0000  0.0000  0.0000  2.80

Computed properties:
For the total energy, the calculation gives -0.287 hartree per atom. The density of states at the Fermi level comes out at 11.0 states/eV per cell. As for the energy of formation: -0.179 eV per atom.

[6]
A plane-wave DFT calculation with PBE was carried out for crystalline CdHIrBr2 at its relaxed geometry.

Cell lengths 5.5109, 5.3950, 5.5109 Å; angles 90.00, 90.00, 90.00 degrees
Site moments in Bohr magnetons follow the coordinates.
Element x y z (fractional)
Ir  0.0000  0.5000  0.0000  2.20
Br  0.5000  0.0000  0.0000  0.10
Br  0.0000  0.0000  0.5000  0.12
Cd  0.0000  0.0000  0.0000  -0.01
H  0.5000  0.5000  0.5000  0.38

Computed properties:
For the total energy, the calculation gives -0.074 hartree per atom. The density of states at the Fermi level comes out at 7.5 states/eV per cell.

[7]
A plane-wave DFT calculation with PBE was carried out for crystalline Tl2MoAs at its relaxed geometry.

Cell lengths 8.1179, 8.1179, 6.4474 Å; angles 50.98, 50.98, 90.00 degrees
Site moments in Bohr magnetons follow the coordinates.
Element x y z (fractional)
Mo  0.0000  0.0000  0.0000  2.67
Mo  0.7500  0.2500  0.5000  2.67
Tl  0.1311  0.6250  0.2500  0.01
Tl  0.6189  0.1250  0.2500  0.00
Tl  0.8750  0.8689  0.7500  0.01
Tl  0.3750  0.3811  0.7500  0.00
As  0.2500  0.7500  0.5000  0.00
As  0.5000  0.5000  0.0000  0.00

Computed properties:
For the total energy, the calculation gives -0.154 hartree per atom. The density of states at the Fermi level comes out at 4.7 states/eV per cell. As for the energy of formation: 0.849 eV per atom.

[8]
A plane-wave DFT calculation with PBE was carried out for crystalline ZnCu at its relaxed geometry.

Cell lengths 4.6921, 4.6921, 4.6921 Å; angles 134.78, 133.57, 66.82 degrees
Element x y z (fractional)
Zn  0.1256  0.8756  0.7500
Zn  0.8744  0.1244  0.2500
Cu  0.3756  0.6256  0.2500
Cu  0.6244  0.3744  0.7500

Computed properties:
For the total energy, the calculation gives -0.102 hartree per atom. The density of states at the Fermi level comes out at 0.7 states/eV per cell. As for the energy of formation: -0.087 eV per atom.

[9]
A plane-wave DFT calculation with PBE was carried out for crystalline Ce2PmTmSe5 at its relaxed geometry.

Cell lengths 5.0733, 5.0733, 10.9108 Å; angles 90.00, 90.00, 90.00 degrees
Site moments in Bohr magnetons follow the coordinates.
Element x y z (fractional)
Tm  0.0000  0.0000  0.5000  0.10
Se  0.0000  0.0000  0.7504  -0.01
Se  0.0000  0.0000  0.2496  -0.01
Se  0.5000  0.0000  0.5000  -0.01
Se  0.5000  0.5000  0.0000  -0.01
Se  0.0000  0.5000  0.5000  -0.01
Ce  0.5000  0.5000  0.3062  1.35
Ce  0.5000  0.5000  0.6938  1.35
Pm  0.0000  0.0000  0.0000  0.05

Computed properties:
For the uncorrected formation energy, the calculation gives -1.345 eV/atom. For the total energy, the calculation gives -0.207 hartree per atom. The density of states at the Fermi level comes out at 19.1 states/eV per cell.

[10]
A plane-wave DFT calculation with PBE was carried out for crystalline CoS2NCl at its relaxed geometry.

Cell lengths 4.1682, 4.1682, 4.2058 Å; angles 90.00, 90.00, 90.00 degrees
Site moments in Bohr magnetons follow the coordinates.
Element x y z (fractional)
N  0.0000  0.0000  0.0000  -0.01
S  0.5000  0.0000  0.0000  0.14
S  0.0000  0.5000  0.0000  0.14
Cl  0.0000  0.0000  0.5000  0.16
Co  0.5000  0.5000  0.5000  2.32

Computed properties:
For the uncorrected formation energy, the calculation gives 1.345 eV/atom. For the total energy, the calculation gives -0.138 hartree per atom. The density of states at the Fermi level comes out at 3.9 states/eV per cell.

[11]
A plane-wave DFT calculation with PBE was carried out for crystalline KCuO at its relaxed geometry.

Cell lengths 4.9505, 5.5850, 9.2694 Å; angles 90.00, 90.00, 90.00 degrees
Element x y z (fractional)
K  0.2500  0.0154  0.6553
K  0.7500  0.5154  0.8447
K  0.2500  0.4846  0.1553
K  0.7500  0.9846  0.3447
Cu  0.0000  0.5000  0.5000
Cu  0.5000  0.5000  0.5000
Cu  0.0000  0.0000  0.0000
Cu  0.5000  0.0000  0.0000
O  0.2500  0.7912  0.9234
O  0.7500  0.2912  0.5766
O  0.2500  0.7088  0.4234
O  0.7500  0.2088  0.0766

Computed properties:
For the uncorrected formation energy, the calculation gives -0.979 eV/atom. For the total energy, the calculation gives -0.160 hartree per atom.

[12]
A plane-wave DFT calculation with PBE was carried out for crystalline PuPaGeOs at its relaxed geometry.

Cell lengths 4.7932, 4.7932, 4.7932 Å; angles 60.00, 60.00, 60.00 degrees
Site moments in Bohr magnetons follow the coordinates.
Element x y z (fractional)
Pu  0.7500  0.7500  0.7500  5.47
Os  0.2500  0.2500  0.2500  -0.10
Pa  0.0000  0.0000  0.0000  1.09
Ge  0.5000  0.5000  0.5000  0.07

Computed properties:
For the total energy, the calculation gives -0.371 hartree per atom. The density of states at the Fermi level comes out at 4.9 states/eV per cell. As for the energy of formation: -0.170 eV per atom.

[13]
A plane-wave DFT calculation with PBE was carried out for crystalline Ba5RhI5 at its relaxed geometry.

Cell lengths 6.9983, 8.8647, 9.8690 Å; angles 107.59, 90.00, 113.25 degrees
Site moments in Bohr magnetons follow the coordinates.
Element x y z (fractional)
Rh  0.0000  0.0000  0.0000  -0.09
I  0.3038  0.6075  0.6695  0.00
I  0.3253  0.6507  0.1665  0.00
I  0.6962  0.3925  0.3305  0.00
I  0.6747  0.3493  0.8335  0.00
I  0.0000  0.0000  0.5000  0.00
Ba  0.8580  0.7161  0.7068  0.06
Ba  0.8649  0.7299  0.1435  0.07
Ba  0.1420  0.2839  0.2932  0.06
Ba  0.5000  0.0000  0.0000  0.06
Ba  0.1351  0.2701  0.8565  0.07

Computed properties:
For the uncorrected formation energy, the calculation gives -1.276 eV/atom. For the total energy, the calculation gives -0.129 hartree per atom. The density of states at the Fermi level comes out at 6.8 states/eV per cell.

[14]
A plane-wave DFT calculation with PBE was carried out for crystalline Nd7CI12 at its relaxed geometry.

Cell lengths 9.8372, 9.8372, 9.8372 Å; angles 107.76, 107.76, 107.76 degrees
Site moments in Bohr magnetons follow the coordinates.
Element x y z (fractional)
I  0.7721  0.9218  0.3127  0.00
I  0.2279  0.0782  0.6873  0.00
I  0.0782  0.6873  0.2279  0.00
I  0.3127  0.7721  0.9218  0.00
I  0.8498  0.6115  0.5292  0.00
I  0.1502  0.3885  0.4708  0.00
I  0.5292  0.8498  0.6115  0.00
I  0.9218  0.3127  0.7721  0.00
I  0.3885  0.4708  0.1502  0.00
I  0.4708  0.1502  0.3885  0.00
I  0.6873  0.2279  0.0782  0.00
I  0.6115  0.5292  0.8498  0.00
Nd  0.9680  0.7080  0.9008  0.11
Nd  0.5000  0.5000  0.5000  0.00
Nd  0.7080  0.9008  0.9680  0.11
Nd  0.0320  0.2920  0.0992  0.11
Nd  0.9008  0.9680  0.7080  0.11
Nd  0.0992  0.0320  0.2920  0.11
Nd  0.2920  0.0992  0.0320  0.11
C  0.0000  0.0000  0.0000  -0.05

Computed properties:
For the uncorrected formation energy, the calculation gives -1.242 eV/atom. For the total energy, the calculation gives -0.158 hartree per atom. The density of states at the Fermi level comes out at 11.1 states/eV per cell.

[15]
A plane-wave DFT calculation with PBE was carried out for crystalline GeP3F at its relaxed geometry.

Cell lengths 4.4074, 4.4074, 4.4074 Å; angles 90.00, 90.00, 90.00 degrees
Element x y z (fractional)
F  0.0000  0.0000  0.0000
P  0.5000  0.0000  0.0000
P  0.0000  0.0000  0.5000
P  0.0000  0.5000  0.0000
Ge  0.5000  0.5000  0.5000

Computed properties:
For the uncorrected formation energy, the calculation gives 0.723 eV/atom. For the total energy, the calculation gives -0.140 hartree per atom. The density of states at the Fermi level comes out at 2.5 states/eV per cell.

[16]
A plane-wave DFT calculation with PBE was carried out for crystalline V2CrAs2 at its relaxed geometry.

Cell lengths 6.6899, 6.6899, 3.2563 Å; angles 90.00, 90.00, 90.00 degrees
Site moments in Bohr magnetons follow the coordinates.
Element x y z (fractional)
V  0.8575  0.3575  0.5000  -0.01
V  0.3575  0.1425  0.5000  -0.01
V  0.1425  0.6425  0.5000  -0.01
V  0.6425  0.8575  0.5000  -0.01
As  0.3462  0.8462  0.0000  0.00
As  0.8462  0.6538  0.0000  0.00
As  0.1538  0.3462  0.0000  0.00
As  0.6538  0.1538  0.0000  0.00
Cr  0.5000  0.5000  0.0000  2.54
Cr  0.0000  0.0000  0.0000  2.54

Computed properties:
For the total energy, the calculation gives -0.279 hartree per atom. The density of states at the Fermi level comes out at 10.7 states/eV per cell. As for the energy of formation: -0.159 eV per atom.

[17]
A plane-wave DFT calculation with PBE was carried out for crystalline Nd2ErBi2 at its relaxed geometry.

Cell lengths 6.4874, 8.6857, 8.1767 Å; angles 122.08, 113.37, 90.00 degrees
Element x y z (fractional)
Nd  0.6512  0.0052  0.3025
Nd  0.8488  0.7027  0.6975
Nd  0.1512  0.2973  0.3025
Nd  0.3488  0.9948  0.6975
Bi  0.1080  0.8864  0.2160
Bi  0.6080  0.3296  0.2160
Bi  0.8920  0.1136  0.7840
Bi  0.3920  0.6704  0.7840
Er  0.2500  0.5000  0.0000
Er  0.7500  0.5000  0.0000

Computed properties:
For the total energy, the calculation gives -0.183 hartree per atom. The density of states at the Fermi level comes out at 8.5 states/eV per cell. As for the energy of formation: -0.612 eV per atom.

[18]
A plane-wave DFT calculation with PBE was carried out for crystalline LiY4Cu2 at its relaxed geometry.

Cell lengths 4.9713, 4.9713, 8.4477 Å; angles 72.89, 72.89, 60.00 degrees
Element x y z (fractional)
Y  0.1304  0.1304  0.6089
Y  0.6184  0.6184  0.1449
Y  0.8696  0.8696  0.3911
Y  0.3816  0.3816  0.8551
Cu  0.7445  0.7445  0.7664
Cu  0.2555  0.2555  0.2336
Li  0.0000  0.0000  0.0000

Computed properties:
For the total energy, the calculation gives -0.190 hartree per atom. The density of states at the Fermi level comes out at 7.2 states/eV per cell. As for the energy of formation: -0.021 eV per atom.

[19]
A plane-wave DFT calculation with PBE was carried out for crystalline Y2Mo at its relaxed geometry.

Cell lengths 5.9387, 5.9387, 5.9387 Å; angles 60.00, 60.00, 60.00 degrees
Element x y z (fractional)
Mo  0.0000  0.0000  0.0000
Mo  0.2500  0.2500  0.2500
Y  0.1250  0.6250  0.6250
Y  0.6250  0.6250  0.6250
Y  0.6250  0.6250  0.1250
Y  0.6250  0.1250  0.6250

Computed properties:
For the total energy, the calculation gives -0.247 hartree per atom. The density of states at the Fermi level comes out at 10.2 states/eV per cell. As for the energy of formation: 1.201 eV per atom.

[20]
A plane-wave DFT calculation with PBE was carried out for crystalline Nd4CdAg5 at its relaxed geometry.

Cell lengths 3.6789, 3.6789, 18.5630 Å; angles 90.00, 90.00, 90.00 degrees
Element x y z (fractional)
Nd  0.0000  0.0000  0.8132
Nd  0.0000  0.0000  0.1868
Nd  0.0000  0.0000  0.6043
Nd  0.0000  0.0000  0.3957
Ag  0.5000  0.5000  0.7079
Ag  0.5000  0.5000  0.0834
Ag  0.5000  0.5000  0.5000
Ag  0.5000  0.5000  0.9166
Ag  0.5000  0.5000  0.2921
Cd  0.0000  0.0000  0.0000

Computed properties:
For the total energy, the calculation gives -0.134 hartree per atom. The density of states at the Fermi level comes out at 7.8 states/eV per cell. As for the energy of formation: -0.215 eV per atom.

Let's list ρ in order: 7.3 8.2 6.3 15.7 11.2 4.7 9.9 8.2 5.8 3.9 3.1 15.7 4.5 5.4 3.6 6.9 8.4 4.8 6.1 8.1 g/cm3.